First-principles (PBE) data for a geometry-optimized TcPOs3 structure, as listed in the Alexandria database.

Computed properties:
Total magnetization   2.44 μB per cell
Space group   Pm-3m (221)
E_tot   -8.76 eV/atom

a b c (Å): 4.3296 4.3296 4.3296
angles (deg): 90.00 90.00 90.00
Sites, in units of the cell vectors:
Tc (0.0000, 0.0000, 0.0000)
P (0.5000, 0.5000, 0.5000)
Os (0.0000, 0.5000, 0.5000)
Os (0.5000, 0.0000, 0.5000)
Os (0.5000, 0.5000, 0.0000)